1.
# PBE Sr4HoTl5, relaxed
data_Sr4HoTl5
_space_group_name_H-M_alt 'P 1'
_space_group_IT_number 1
_cell_length_a 4.005
_cell_length_b 4.005
_cell_length_c 20.394
_cell_angle_alpha 90.00
_cell_angle_beta 90.00
_cell_angle_gamma 90.00
loop_
_space_group_symop_operation_xyz
'x,y,z'
loop_
_atom_site_label
_atom_site_type_symbol
_atom_site_fract_x
_atom_site_fract_y
_atom_site_fract_z
_atom_site_occupancy
Tl1 Tl 0.500 0.500 0.086 1
Tl2 Tl 0.500 0.500 0.500 1
Tl3 Tl 0.500 0.500 0.704 1
Tl4 Tl 0.500 0.500 0.914 1
Tl5 Tl 0.500 0.500 0.296 1
Sr1 Sr 0.000 0.000 0.192 1
Sr2 Sr 0.000 0.000 0.397 1
Sr3 Sr 0.000 0.000 0.603 1
Sr4 Sr 0.000 0.000 0.808 1
Ho1 Ho 0.000 0.000 0.000 1
# - Formation energy: -0.399 eV per atom
# - SG: No. 123
# - VASP energy: -27.1 eV per cell

***

2.
# PBE SrHo4Tl5, relaxed
data_SrHo4Tl5
_space_group_name_H-M_alt 'P 1'
_space_group_IT_number 1
_cell_length_a 3.815
_cell_length_b 3.815
_cell_length_c 19.469
_cell_angle_alpha 90.00
_cell_angle_beta 90.00
_cell_angle_gamma 90.00
loop_
_space_group_symop_operation_xyz
'x,y,z'
loop_
_atom_site_label
_atom_site_type_symbol
_atom_site_fract_x
_atom_site_fract_y
_atom_site_fract_z
_atom_site_occupancy
Sr1 Sr 0.000 0.000 0.000 1
Ho1 Ho 0.000 0.000 0.210 1
Ho2 Ho 0.000 0.000 0.790 1
Ho3 Ho 0.000 0.000 0.596 1
Ho4 Ho 0.000 0.000 0.404 1
Tl1 Tl 0.500 0.500 0.116 1
Tl2 Tl 0.500 0.500 0.308 1
Tl3 Tl 0.500 0.500 0.884 1
Tl4 Tl 0.500 0.500 0.692 1
Tl5 Tl 0.500 0.500 0.500 1
# - Formation energy: -0.343 eV per atom
# - SG: No. 123
# - VASP energy: -35.3 eV per cell

***

3.
# PBE SrHo5Tl6, relaxed
data_SrHo5Tl6
_space_group_name_H-M_alt 'P 1'
_space_group_IT_number 1
_cell_length_a 5.452
_cell_length_b 7.555
_cell_length_c 9.405
_cell_angle_alpha 113.68
_cell_angle_beta 106.85
_cell_angle_gamma 90.00
loop_
_space_group_symop_operation_xyz
'x,y,z'
loop_
_atom_site_label
_atom_site_type_symbol
_atom_site_fract_x
_atom_site_fract_y
_atom_site_fract_z
_atom_site_occupancy
Tl1 Tl 0.170 0.427 0.341 1
Tl2 Tl 0.500 0.736 0.000 1
Tl3 Tl 0.500 0.264 0.000 1
Tl4 Tl 0.170 0.914 0.341 1
Tl5 Tl 0.830 0.086 0.659 1
Tl6 Tl 0.830 0.573 0.659 1
Sr1 Sr 0.000 0.000 0.000 1
Ho1 Ho 0.000 0.500 0.000 1
Ho2 Ho 0.662 0.162 0.324 1
Ho3 Ho 0.331 0.331 0.663 1
Ho4 Ho 0.338 0.838 0.676 1
Ho5 Ho 0.669 0.669 0.337 1
# - Formation energy: -0.319 eV per atom
# - SG: No. 71
# - VASP energy: -42.6 eV per cell